A relaxed structure of Ba6P2BrCl3. Source: the Alexandria database, functional PBE.

Unit cell a=4.6512 b=9.3028 c=10.3430 alpha=102.27 beta=102.99 gamma=90.00
Closest atoms and distances in Å follow each position.
Sites, in units of the cell vectors:
Ba: 0.3296 0.8943 0.6593  2 P 3.13, 3 Cl 3.25-3.41, 1 Br 3.36
Ba: 0.6719 0.5686 0.3439  3 P 3.21-3.23, 3 Cl 3.38-3.43
Ba: 0.6704 0.1057 0.3407  2 P 3.13, 3 Cl 3.25-3.41, 1 Br 3.36
Ba: 0.0076 0.2629 0.0153  1 P 3.09, 3 Cl 3.23-3.39, 2 Br 3.35
Ba: 0.9924 0.7371 0.9847  1 P 3.09, 3 Cl 3.23-3.39, 2 Br 3.35
Ba: 0.3281 0.4314 0.6561  3 P 3.21-3.23, 3 Cl 3.38-3.43
P: 0.8355 0.6715 0.6709  6 Ba 3.09-3.23
P: 0.1645 0.3285 0.3291  6 Ba 3.09-3.23
Br: 0.5000 0.0000 0.0000  6 Ba 3.35-3.36
Cl: 0.5000 0.5000 0.0000  6 Ba 3.23-3.38
Cl: 0.8354 0.1642 0.6708  6 Ba 3.25-3.43
Cl: 0.1646 0.8358 0.3292  6 Ba 3.25-3.43

Values from the calculation:
* formation energy (no corrections): -20.13 eV per formula unit
* magnetic moment: 0.0 Bohr magnetons per cell



A relaxed structure of Sm5Y8Er. Source: the Alexandria database, functional PBE.

Unit cell a=8.4903 b=8.4903 c=8.4903 alpha=110.84 beta=110.84 gamma=106.77
Closest atoms and distances in Å follow each position.
Sites, in units of the cell vectors:
Sm: 0.0322 0.7090 0.8955  8 Y 3.37-3.58, 2 Sm 3.63
Sm: 0.8633 0.9678 0.6768  8 Y 3.37-3.58, 2 Sm 3.63
Sm: 0.8135 0.1367 0.1045  8 Y 3.37-3.58, 2 Sm 3.63
Sm: 0.5000 0.5000 0.0000  8 Y 3.13-3.34
Sm: 0.2910 0.1865 0.3232  8 Y 3.37-3.58, 2 Sm 3.63
Y: 0.1684 0.4293 0.0922  4 Sm 3.13-3.51, 1 Er 3.22
Y: 0.9238 0.8316 0.2609  4 Sm 3.13-3.51, 1 Er 3.22
Y: 0.7300 0.4772 0.3955  5 Sm 3.34-3.55, 3 Y 3.66-3.69
Y: 0.6655 0.2700 0.7473  5 Sm 3.34-3.55, 3 Y 3.66-3.69
Y: 0.5228 0.9183 0.2527  5 Sm 3.34-3.55, 3 Y 3.66-3.69
Y: 0.5707 0.6629 0.7391  4 Sm 3.13-3.51, 1 Er 3.22
Y: 0.3371 0.0762 0.9078  4 Sm 3.13-3.51, 1 Er 3.22
Y: 0.0817 0.3345 0.6045  5 Sm 3.34-3.55, 3 Y 3.66-3.69
Er: 0.2500 0.7500 0.5000  4 Y 3.22

Values from the calculation:
* magnetic moment: 0.0 Bohr magnetons per cell
* energy of formation from the pure elements: 241.8 meV/atom



A relaxed structure of MnTlPt3. Source: the Alexandria database, functional PBE.

Unit cell a=4.6554 b=4.6554 c=4.6554 alpha=90.00 beta=90.00 gamma=90.00
Closest atoms and distances in Å follow each position.
Sites, in units of the cell vectors:
Tl: 0.5000 0.5000 0.5000  12 Pt 3.29
Mn: 0.0000 0.0000 0.0000  6 Pt 2.33
Pt: 0.0000 0.5000 0.0000  2 Mn 2.33
Pt: 0.0000 0.0000 0.5000  2 Mn 2.33
Pt: 0.5000 0.0000 0.0000  2 Mn 2.33

Values from the calculation:
* magnetic moment: 0.0 Bohr magnetons per cell
* energy of formation from the pure elements: 767.3 meV/atom
* excess energy over the best structure of this formula in the dataset: 0.000 eV per atom



A relaxed structure of U4IrOs. Source: the Alexandria database, functional PBE.

Unit cell a=5.5151 b=5.5150 c=6.8018 alpha=67.26 beta=132.10 gamma=130.54
Closest atoms and distances in Å follow each position.
Sites, in units of the cell vectors:
U: 0.3470 0.6723 0.0193  3 U 2.57-2.81, 1 Ir 2.87, 2 Os 2.87
U: 0.6530 0.3277 0.9807  3 U 2.57-2.81, 1 Ir 2.87, 2 Os 2.87
U: 0.3416 0.1734 0.5150  3 U 2.57-2.79, 1 Os 2.85
U: 0.6584 0.8266 0.4850  3 U 2.57-2.79, 1 Os 2.85
Ir: 0.0000 0.5000 0.5000  6 U 2.87-2.88
Os: 0.0000 0.0000 0.0000  6 U 2.85-2.87

Values from the calculation:
* magnetic moment: 0.0 Bohr magnetons per cell
* energy of formation from the pure elements: -199.3 meV/atom



A relaxed structure of LiDyIn5. Source: the Alexandria database, functional PBE.

Unit cell a=4.5820 b=4.5820 c=8.1197 alpha=90.00 beta=90.00 gamma=90.00
Closest atoms and distances in Å follow each position.
Sites, in units of the cell vectors:
Li: 0.5000 0.5000 0.0000  8 In 2.81
Dy: 0.0000 0.0000 0.5000  12 In 3.24-3.34
In: 0.0000 0.5000 0.7989  2 Li 2.81
In: 0.0000 0.5000 0.2011  2 Li 2.81
In: 0.5000 0.0000 0.7989  2 Li 2.81
In: 0.5000 0.0000 0.2011  2 Li 2.81
In: 0.5000 0.5000 0.5000  4 Dy 3.24, 8 In 3.34

Values from the calculation:
* magnetic moment: 0.0 Bohr magnetons per cell
* energy of formation from the pure elements: -221.2 meV/atom



A relaxed structure of ErTlGeO4. Source: the Alexandria database, functional PBE.

Unit cell a=5.8155 b=5.9101 c=7.7233 alpha=90.00 beta=108.23 gamma=90.00
Closest atoms and distances in Å follow each position.
Sites, in units of the cell vectors:
Er: 0.8020 0.7500 0.4570  6 O 2.24-2.36
Er: 0.1980 0.2500 0.5430  6 O 2.24-2.36
Tl: 0.6641 0.7500 0.9085  1 O 2.50
Tl: 0.3359 0.2500 0.0915  1 O 2.50
Ge: 0.2623 0.7500 0.3491  4 O 1.77-1.79
Ge: 0.7377 0.2500 0.6509  4 O 1.77-1.79
O: 0.9475 0.4761 0.6620  1 Ge 1.79
O: 0.0525 0.9761 0.3380  1 Ge 1.79
O: 0.0525 0.5239 0.3380  1 Ge 1.79
O: 0.9475 0.0239 0.6620  1 Ge 1.79
O: 0.4543 0.7500 0.2111  1 Ge 1.77
O: 0.5457 0.2500 0.7889  1 Ge 1.77
O: 0.4828 0.7500 0.5693  1 Ge 1.78
O: 0.5172 0.2500 0.4307  1 Ge 1.78

Values from the calculation:
* formation energy (no corrections): -14.89 eV per formula unit
* magnetic moment: 0.0 Bohr magnetons per cell



A relaxed structure of HoZn2Co9. Source: the Alexandria database, functional PBE.

Unit cell a=4.7602 b=8.0190 c=8.0190 alpha=90.00 beta=90.00 gamma=90.00
Closest atoms and distances in Å follow each position.
Sites, in units of the cell vectors:
Ho: 0.0000 0.5000 0.5000  16 Co 2.97-3.16, 4 Zn 3.20
Ho: 0.0000 0.0000 0.0000  16 Co 2.97-3.16, 4 Zn 3.20
Zn: 0.0000 0.6186 0.1186  12 Co 2.57-2.78, 1 Zn 2.69
Zn: 0.0000 0.3814 0.8814  12 Co 2.57-2.78, 1 Zn 2.69
Zn: 0.0000 0.1186 0.3814  12 Co 2.57-2.78, 1 Zn 2.69
Zn: 0.0000 0.8814 0.6186  12 Co 2.57-2.78, 1 Zn 2.69
Co: 0.5000 0.5000 0.0000  8 Co 2.38-2.39
Co: 0.5000 0.0000 0.5000  8 Co 2.38-2.39
Co: 0.5000 0.7100 0.5684  8 Co 2.39-2.51
Co: 0.5000 0.2900 0.4316  8 Co 2.39-2.51
Co: 0.5000 0.2100 0.9316  8 Co 2.39-2.51
Co: 0.5000 0.7900 0.0684  8 Co 2.39-2.51
Co: 0.5000 0.4316 0.7100  8 Co 2.39-2.51
Co: 0.5000 0.5684 0.2900  8 Co 2.39-2.51
Co: 0.5000 0.0684 0.2100  8 Co 2.39-2.51
Co: 0.5000 0.9316 0.7900  8 Co 2.39-2.51
Co: 0.7641 0.8221 0.3221  7 Co 2.25-2.51
Co: 0.7641 0.1779 0.6779  7 Co 2.25-2.51
Co: 0.7641 0.3221 0.1779  7 Co 2.25-2.51
Co: 0.7641 0.6779 0.8221  7 Co 2.25-2.51
Co: 0.2359 0.1779 0.6779  7 Co 2.25-2.51
Co: 0.2359 0.8221 0.3221  7 Co 2.25-2.51
Co: 0.2359 0.6779 0.8221  7 Co 2.25-2.51
Co: 0.2359 0.3221 0.1779  7 Co 2.25-2.51

Values from the calculation:
* magnetic moment: 24.6 Bohr magnetons per cell
* energy of formation from the pure elements: -94.9 meV/atom



A relaxed structure of Zr2TaTiH. Source: the Alexandria database, functional PBE.

Unit cell a=4.6508 b=4.6508 c=3.8774 alpha=90.00 beta=90.00 gamma=90.00
Closest atoms and distances in Å follow each position.
Sites, in units of the cell vectors:
H: 0.0000 0.0000 0.0000  2 Ta 1.94
Ti: 0.5000 0.5000 0.5000  8 Zr 3.03, 4 Ta 3.29
Zr: 0.0000 0.5000 0.0000  2 H 2.33
Zr: 0.5000 0.0000 0.0000  2 H 2.33
Ta: 0.0000 0.0000 0.5000  2 H 1.94

Values from the calculation:
* magnetic moment: 0.0 Bohr magnetons per cell
* excess energy over the best structure of this formula in the dataset: 0.024 eV per atom



A relaxed structure of ScNbPd2. Source: the Alexandria database, functional PBE.

Unit cell a=2.9198 b=4.8861 c=4.8861 alpha=90.00 beta=90.00 gamma=90.00
Closest atoms and distances in Å follow each position.
Sites, in units of the cell vectors:
Sc: 0.5000 0.5000 0.5000  8 Pd 2.85, 2 Sc 2.92
Nb: 0.5000 0.0000 0.0000  8 Pd 2.85, 2 Nb 2.92
Pd: 0.0000 0.0000 0.5000  4 Nb 2.85, 4 Sc 2.85, 2 Pd 2.92
Pd: 0.0000 0.5000 0.0000  4 Nb 2.85, 4 Sc 2.85, 2 Pd 2.92

Values from the calculation:
* magnetic moment: 0.0 Bohr magnetons per cell
* energy of formation from the pure elements: -460.0 meV/atom



A relaxed structure of Sr3Pr5S12. Source: the Alexandria database, functional PBE.

Unit cell a=14.7311 b=14.7311 c=14.7311 alpha=109.47 beta=109.47 gamma=109.47
Closest atoms and distances in Å follow each position.
Sites, in units of the cell vectors:
Sr: 0.7500 0.3750 0.1250  8 S 3.11-3.28
Sr: 0.8750 0.7500 0.1250  8 S 3.11-3.28
Sr: 0.3750 0.7500 0.6250  8 S 3.11-3.28
Sr: 0.2500 0.1250 0.3750  8 S 3.11-3.28
Sr: 0.8750 0.1250 0.2500  8 S 3.11-3.28
Sr: 0.3750 0.6250 0.2500  8 S 3.11-3.28
Sr: 0.6250 0.3750 0.7500  8 S 3.11-3.28
Sr: 0.1250 0.8750 0.7500  8 S 3.11-3.28
Sr: 0.7500 0.8750 0.6250  8 S 3.11-3.28
Sr: 0.6250 0.2500 0.3750  8 S 3.11-3.28
Sr: 0.1250 0.2500 0.8750  8 S 3.11-3.28
Sr: 0.2500 0.6250 0.8750  8 S 3.11-3.28
Pr: 0.1250 0.3750 0.2500  4 S 2.69
Pr: 0.0000 0.5000 0.0000  6 S 2.86
Pr: 0.0000 0.0000 0.0000  6 S 2.86
Pr: 0.3750 0.2500 0.1250  4 S 2.69
Pr: 0.5000 0.0000 0.5000  6 S 2.86
Pr: 0.5000 0.5000 0.0000  6 S 2.86
Pr: 0.1250 0.7500 0.3750  4 S 2.69
Pr: 0.7500 0.1250 0.8750  4 S 2.69
Pr: 0.7500 0.6250 0.3750  4 S 2.69
Pr: 0.3750 0.1250 0.7500  4 S 2.69
Pr: 0.6250 0.8750 0.2500  4 S 2.69
Pr: 0.5000 0.5000 0.5000  6 S 2.86
Pr: 0.5000 0.0000 0.0000  6 S 2.86
Pr: 0.0000 0.0000 0.5000  6 S 2.86
Pr: 0.2500 0.3750 0.6250  4 S 2.69
Pr: 0.2500 0.8750 0.1250  4 S 2.69
Pr: 0.0000 0.5000 0.5000  6 S 2.86
Pr: 0.8750 0.2500 0.6250  4 S 2.69
Pr: 0.6250 0.7500 0.8750  4 S 2.69
Pr: 0.8750 0.6250 0.7500  4 S 2.69
S: 0.7213 0.1266 0.0463  2 Pr 2.69-2.86
S: 0.3249 0.5463 0.4197  2 Pr 2.69-2.86
S: 0.9537 0.3734 0.2787  2 Pr 2.69-2.86
S: 0.5463 0.2213 0.1266  2 Pr 2.69-2.86
S: 0.5948 0.7213 0.6751  2 Pr 2.69-2.86
S: 0.9537 0.5803 0.1751  2 Pr 2.69-2.86
S: 0.3249 0.7787 0.4052  2 Pr 2.69-2.86
S: 0.0803 0.9052 0.1266  2 Pr 2.69-2.86
S: 0.5803 0.9537 0.6751  2 Pr 2.69-2.86
S: 0.7213 0.5948 0.1751  2 Pr 2.69-2.86
S: 0.7787 0.4537 0.3734  2 Pr 2.69-2.86
S: 0.8249 0.9197 0.0463  2 Pr 2.69-2.86
S: 0.1266 0.7213 0.5463  2 Pr 2.69-2.86
S: 0.3734 0.4197 0.0948  2 Pr 2.69-2.86
S: 0.0948 0.9197 0.3734  2 Pr 2.69-2.86
S: 0.4052 0.1266 0.5803  2 Pr 2.69-2.86
S: 0.0948 0.1751 0.2213  2 Pr 2.69-2.86
S: 0.4537 0.6751 0.0803  2 Pr 2.69-2.86
S: 0.8249 0.9052 0.2787  2 Pr 2.69-2.86
S: 0.1266 0.4052 0.0803  2 Pr 2.69-2.86
S: 0.3734 0.9537 0.7787  2 Pr 2.69-2.86
S: 0.5803 0.6266 0.4052  2 Pr 2.69-2.86
S: 0.9197 0.8249 0.5463  2 Pr 2.69-2.86
S: 0.7787 0.3249 0.9052  2 Pr 2.69-2.86
S: 0.4197 0.3734 0.5948  2 Pr 2.69-2.86
S: 0.0803 0.1751 0.4537  2 Pr 2.69-2.86
S: 0.2213 0.6751 0.0948  2 Pr 2.69-2.86
S: 0.1751 0.0948 0.7213  2 Pr 2.69-2.86
S: 0.6266 0.0463 0.2213  2 Pr 2.69-2.86
S: 0.8734 0.5948 0.9197  2 Pr 2.69-2.86
S: 0.5463 0.3249 0.9197  2 Pr 2.69-2.86
S: 0.5948 0.8734 0.4197  2 Pr 2.69-2.86
S: 0.9052 0.8249 0.7787  2 Pr 2.69-2.86
S: 0.9052 0.0803 0.6266  2 Pr 2.69-2.86
S: 0.8734 0.2787 0.4537  2 Pr 2.69-2.86
S: 0.1751 0.0803 0.9537  2 Pr 2.69-2.86
S: 0.6266 0.5803 0.9052  2 Pr 2.69-2.86
S: 0.4197 0.0463 0.3249  2 Pr 2.69-2.86
S: 0.2787 0.4052 0.8249  2 Pr 2.69-2.86
S: 0.2213 0.5463 0.6266  2 Pr 2.69-2.86
S: 0.9197 0.0948 0.8734  2 Pr 2.69-2.86
S: 0.6751 0.2213 0.5948  2 Pr 2.69-2.86
S: 0.4537 0.7787 0.8734  2 Pr 2.69-2.86
S: 0.0463 0.4197 0.8249  2 Pr 2.69-2.86
S: 0.4052 0.2787 0.3249  2 Pr 2.69-2.86
S: 0.0463 0.6266 0.7213  2 Pr 2.69-2.86
S: 0.6751 0.4537 0.5803  2 Pr 2.69-2.86
S: 0.2787 0.8734 0.9537  2 Pr 2.69-2.86

Values from the calculation:
* formation energy (no corrections): -31.82 eV per formula unit
* magnetic moment: 0.8 Bohr magnetons per cell



A relaxed structure of BiRhSe2. Source: the Alexandria database, functional PBE.

Unit cell a=24.6545 b=3.6406 c=8.8666 alpha=90.00 beta=151.83 gamma=90.00
Closest atoms and distances in Å follow each position.
Sites, in units of the cell vectors:
Rh: 0.2779 0.2507 0.9968  5 Se 2.51-2.58
Rh: 0.7221 0.7493 0.0032  5 Se 2.51-2.58
Rh: 0.2221 0.7507 0.5032  5 Se 2.51-2.58
Rh: 0.7779 0.2493 0.4968  5 Se 2.51-2.58
Bi: 0.6031 0.2492 0.5077  2 Se 2.83-3.14, 2 Rh 2.91-2.92
Bi: 0.3969 0.7508 0.4923  2 Se 2.83-3.14, 2 Rh 2.91-2.92
Bi: 0.8969 0.7492 0.9923  2 Se 2.83-3.14, 2 Rh 2.91-2.92
Bi: 0.1031 0.2508 0.0077  2 Se 2.83-3.14, 2 Rh 2.91-2.92
Se: 0.8731 0.7492 0.5811  3 Rh 2.51-2.55
Se: 0.1269 0.2508 0.4189  3 Rh 2.51-2.55
Se: 0.6269 0.2492 0.9189  3 Rh 2.51-2.55
Se: 0.3731 0.7508 0.0811  3 Rh 2.51-2.55
Se: 0.1597 0.7507 0.8436  2 Rh 2.58, 1 Bi 2.83
Se: 0.8403 0.2493 0.1564  2 Rh 2.58, 1 Bi 2.83
Se: 0.3403 0.2507 0.6564  2 Rh 2.58, 1 Bi 2.83
Se: 0.6597 0.7493 0.3436  2 Rh 2.58, 1 Bi 2.83

Values from the calculation:
* formation energy (no corrections): -1.10 eV per formula unit
* magnetic moment: 0.0 Bohr magnetons per cell



A relaxed structure of Ti2Ni3Au. Source: the Alexandria database, functional PBE.

Unit cell a=4.3979 b=6.9640 c=7.1733 alpha=125.17 beta=90.00 gamma=108.41
Closest atoms and distances in Å follow each position.
Sites, in units of the cell vectors:
Ti: 0.5196 0.0391 0.8273  5 Ni 2.40-2.63
Ti: 0.4804 0.9609 0.1727  5 Ni 2.40-2.63
Ti: 0.8014 0.6027 0.1799  5 Ni 2.46-2.54
Ti: 0.1986 0.3973 0.8201  5 Ni 2.46-2.54
Ni: 0.2914 0.5828 0.6009  2 Ti 2.41-2.51, 4 Ni 2.49-2.69
Ni: 0.9611 0.9223 0.6184  4 Ni 2.46-2.69, 4 Ti 2.50-2.54
Ni: 0.6159 0.2317 0.6322  4 Ti 2.40-2.63, 4 Ni 2.43-2.62, 1 Au 2.63
Ni: 0.3841 0.7683 0.3678  4 Ti 2.40-2.63, 4 Ni 2.43-2.62, 1 Au 2.63
Ni: 0.0389 0.0777 0.3816  4 Ni 2.46-2.69, 4 Ti 2.50-2.54
Ni: 0.7086 0.4172 0.3991  2 Ti 2.41-2.51, 4 Ni 2.49-2.69
Au: 0.8649 0.7298 0.8728  6 Ni 2.63-2.90, 3 Ti 2.79, 1 Au 2.86
Au: 0.1351 0.2702 0.1272  6 Ni 2.63-2.90, 3 Ti 2.79, 1 Au 2.86

Values from the calculation:
* magnetic moment: 0.0 Bohr magnetons per cell
* energy of formation from the pure elements: -261.4 meV/atom